{"formula": "Cs2HoRe3O12", "functional": "PBE", "state": "optimized geometry", "spacegroup": "R-3m", "e_form_raw_kj_per_mol_atoms": -189, "dos_at_fermi_per_ev_atom": 0.286, "lattice": [[3.704, 2.139, 6.337], [-3.704, 2.139, 6.337], [0.000, -4.277, 6.337]], "species": ["Cs", "Cs", "Ho", "Re", "Re", "Re", "O", "O", "O", "O", "O", "O", "O", "O", "O", "O", "O", "O"], "fractional_positions": [[0.117, 0.117, 0.117], [0.883, 0.883, 0.883], [0.500, 0.500, 0.500], [0.000, 0.500, 0.500], [0.500, 0.000, 0.500], [0.500, 0.500, 0.000], [0.150, 0.569, 0.569], [0.196, 0.196, 0.569], [0.196, 0.569, 0.196], [0.431, 0.431, 0.850], [0.431, 0.804, 0.804], [0.431, 0.850, 0.431], [0.569, 0.150, 0.569], [0.569, 0.196, 0.196], [0.569, 0.569, 0.150], [0.804, 0.431, 0.804], [0.804, 0.804, 0.431], [0.850, 0.431, 0.431]]}



{"formula": "Nd2InNi3Ge4", "functional": "PBE", "state": "optimized geometry", "spacegroup": "P-4m2", "dos_at_fermi_per_ev_atom": 0.433, "formation_energy_mev_per_atom": -600, "lattice": [[4.198, 0.000, 0.000], [0.000, 4.198, 0.000], [0.000, 0.000, 10.352]], "species": ["Nd", "Nd", "In", "Ni", "Ni", "Ni", "Ge", "Ge", "Ge", "Ge"], "fractional_positions": [[0.000, 0.500, 0.233], [0.500, 0.000, 0.767], [0.000, 0.000, 0.500], [0.000, 0.500, 0.886], [0.500, 0.000, 0.114], [0.500, 0.500, 0.500], [0.000, 0.000, 0.000], [0.000, 0.500, 0.659], [0.500, 0.000, 0.341], [0.500, 0.500, 0.000]]}



{"formula": "Tb8SbS6", "functional": "PBE", "state": "optimized geometry", "spacegroup": "P-3", "e_form_raw_kj_per_mol_atoms": -153, "dos_at_fermi_per_ev_atom": 0.452, "lattice": [[10.206, 0.000, 0.000], [-5.103, 8.839, 0.000], [0.000, 0.000, 3.972]], "species": ["Tb", "Tb", "Tb", "Tb", "Tb", "Tb", "Tb", "Tb", "Sb", "S", "S", "S", "S", "S", "S"], "fractional_positions": [[0.035, 0.336, 0.254], [0.301, 0.965, 0.254], [0.333, 0.667, 0.748], [0.336, 0.301, 0.746], [0.664, 0.699, 0.254], [0.667, 0.333, 0.252], [0.699, 0.035, 0.746], [0.965, 0.664, 0.746], [0.000, 0.000, 0.500], [0.136, 0.653, 0.248], [0.347, 0.483, 0.248], [0.483, 0.136, 0.752], [0.517, 0.864, 0.248], [0.653, 0.517, 0.752], [0.864, 0.347, 0.752]]}